Here is a relaxed Ac2HgAu3 crystal from Alexandria via LeMat-Bulk. Energies are from GGA-PBE.

extended XYZ file:
```
6
Lattice="-2.1370 2.1619 9.2526 2.1370 -2.1619 9.2526 2.1370 2.1619 -9.2526" Properties=species:S:1:pos:R:3 pbc="T T T"
Ac 0.0000 0.0000 0.0000
Ac 0.0000 2.1619 4.2894
Hg 0.0000 0.0000 7.4955
Au 2.1370 0.0000 2.9065
Au 2.1370 0.0000 5.6898
Au 0.0000 0.0000 10.4095
```

Calculated values
Relative energy among the computed polymorphs ... 0.0377 eV per atom
DFT total energy ... -3.765 eV per atom
Energy relative to the elements ... -0.71 eV per atom
Space group ... Imm2